(1)
VASP calculation (PBE-GGA) on TaNiI2N after structural relaxation.

## Properties
* formation energy from raw total energies: 0.583 eV per atom
* energy relative to the lowest polymorph listed for this composition: 0.000 eV/atom
* final energy: -5.228 eV/atom
* symmetry: P4/mmm, No. 123

Lattice parameters (Å, degrees): 5.6259 5.6259 3.8910 90.00 90.00 90.00
With the nearest neighbours (Å) after each atom.
Atoms (fractional coordinates):
I 0.0000 0.5000 0.0000  2 Ta 2.81
I 0.5000 0.0000 0.0000  2 Ta 2.81
N 0.0000 0.0000 0.5000  2 Ta 1.95
Ni 0.5000 0.5000 0.5000  8 I 3.42
Ta 0.0000 0.0000 0.0000  2 N 1.95

---

(2)
VASP calculation (PBE-GGA) on TcNiIN2 after structural relaxation.

## Properties
* formation energy from raw total energies: 1.837 eV per atom
* energy relative to the lowest polymorph listed for this composition: 0.990 eV/atom
* final energy: -5.032 eV/atom
* symmetry: P4/mmm, No. 123

Lattice parameters (Å, degrees): 3.7243 3.7243 5.4930 90.00 90.00 90.00
With the nearest neighbours (Å) after each atom.
Atoms (fractional coordinates):
Ni 0.0000 0.0000 0.0000  4 N 1.86
N 0.5000 0.0000 0.0000  2 Ni 1.86
N 0.0000 0.5000 0.0000  2 Ni 1.86
I 0.0000 0.0000 0.5000  4 Tc 2.63, 2 Ni 2.75
Tc 0.5000 0.5000 0.5000  4 I 2.63

---

(3)
VASP calculation (PBE-GGA) on TcNiIN2 after structural relaxation.

## Properties
* formation energy from raw total energies: 2.368 eV per atom
* energy relative to the lowest polymorph listed for this composition: 1.521 eV/atom
* final energy: -4.502 eV/atom
* symmetry: P4/mmm, No. 123

Lattice parameters (Å, degrees): 4.0800 4.6813 4.0800 90.00 90.00 90.00
With the nearest neighbours (Å) after each atom.
Atoms (fractional coordinates):
N 0.5000 0.0000 0.0000  2 I 2.04
N 0.0000 0.0000 0.5000  2 I 2.04
Ni 0.0000 0.5000 0.0000  2 I 2.34
I 0.0000 0.0000 0.0000  4 N 2.04
Tc 0.5000 0.5000 0.5000  4 Ni 2.88, 8 N 3.10

---

(4)
VASP calculation (PBE-GGA) on TcNiIN2 after structural relaxation.

## Properties
* formation energy from raw total energies: 0.847 eV per atom
* energy relative to the lowest polymorph listed for this composition: 0.000 eV/atom
* final energy: -6.023 eV/atom
* symmetry: P4/mmm, No. 123

Lattice parameters (Å, degrees): 3.8014 3.8014 5.9117 90.00 90.00 90.00
With the nearest neighbours (Å) after each atom.
Atoms (fractional coordinates):
N 0.0000 0.5000 0.0000  2 Tc 1.90
N 0.5000 0.0000 0.0000  2 Tc 1.90
I 0.0000 0.0000 0.5000  4 Ni 2.69, 2 Tc 2.96
Tc 0.0000 0.0000 0.0000  4 N 1.90
Ni 0.5000 0.5000 0.5000  4 I 2.69

---

(5)
VASP calculation (PBE-GGA) on TcNiI2N after structural relaxation.

## Properties
* formation energy from raw total energies: 1.159 eV per atom
* energy relative to the lowest polymorph listed for this composition: 0.419 eV/atom
* final energy: -4.355 eV/atom
* symmetry: P4/mmm, No. 123

Lattice parameters (Å, degrees): 5.3021 5.3021 3.4086 90.00 90.00 90.00
With the nearest neighbours (Å) after each atom.
Atoms (fractional coordinates):
I 0.5000 0.0000 0.0000  2 Ni 2.65
I 0.0000 0.5000 0.0000  2 Ni 2.65
N 0.0000 0.0000 0.5000  2 Ni 1.70
Ni 0.0000 0.0000 0.0000  2 N 1.70
Tc 0.5000 0.5000 0.5000  8 I 3.15, 2 Tc 3.41

---

(6)
VASP calculation (PBE-GGA) on TcNiI2N after structural relaxation.

## Properties
* formation energy from raw total energies: 0.741 eV per atom
* energy relative to the lowest polymorph listed for this composition: 0.000 eV/atom
* final energy: -4.774 eV/atom
* symmetry: P4/mmm, No. 123

Lattice parameters (Å, degrees): 5.4954 5.4954 3.7254 90.00 90.00 90.00
With the nearest neighbours (Å) after each atom.
Atoms (fractional coordinates):
I 0.0000 0.5000 0.0000  2 Tc 2.75
I 0.5000 0.0000 0.0000  2 Tc 2.75
N 0.0000 0.0000 0.5000  2 Tc 1.86
Tc 0.0000 0.0000 0.0000  2 N 1.86
Ni 0.5000 0.5000 0.5000  8 I 3.32

---

(7)
VASP calculation (PBE-GGA) on NiTeIN2 after structural relaxation.

## Properties
* formation energy from raw total energies: 1.516 eV per atom
* energy relative to the lowest polymorph listed for this composition: 0.063 eV/atom
* final energy: -3.908 eV/atom
* symmetry: P4/mmm, No. 123

Lattice parameters (Å, degrees): 3.9043 3.9043 7.6696 90.00 90.00 90.00
With the nearest neighbours (Å) after each atom.
Atoms (fractional coordinates):
Te 0.0000 0.0000 0.0000  4 N 1.95
Ni 0.5000 0.5000 0.5000  4 I 2.76
N 0.0000 0.5000 0.0000  2 Te 1.95
N 0.5000 0.0000 0.0000  2 Te 1.95
I 0.0000 0.0000 0.5000  4 Ni 2.76

---

(8)
VASP calculation (PBE-GGA) on NiTeIN2 after structural relaxation.

## Properties
* formation energy from raw total energies: 1.454 eV per atom
* energy relative to the lowest polymorph listed for this composition: 0.000 eV/atom
* final energy: -3.971 eV/atom
* symmetry: P4/mmm, No. 123

Lattice parameters (Å, degrees): 4.1012 4.1012 5.5721 90.00 90.00 90.00
With the nearest neighbours (Å) after each atom.
Atoms (fractional coordinates):
N 0.0000 0.5000 0.0000  2 Ni 2.05
N 0.5000 0.0000 0.0000  2 Ni 2.05
Ni 0.0000 0.0000 0.0000  4 N 2.05
I 0.5000 0.5000 0.5000  4 Te 2.90
Te 0.0000 0.0000 0.5000  2 Ni 2.79, 4 I 2.90

---

(9)
VASP calculation (PBE-GGA) on NiTeIN2 after structural relaxation.

## Properties
* formation energy from raw total energies: 1.588 eV per atom
* energy relative to the lowest polymorph listed for this composition: 0.134 eV/atom
* final energy: -3.837 eV/atom
* symmetry: P4/mmm, No. 123

Lattice parameters (Å, degrees): 4.0642 4.0642 5.9461 90.00 90.00 90.00
With the nearest neighbours (Å) after each atom.
Atoms (fractional coordinates):
Ni 0.0000 0.0000 0.0000  4 N 2.03
I 0.0000 0.0000 0.5000  4 Te 2.87, 2 Ni 2.97
N 0.0000 0.5000 0.0000  2 Ni 2.03
N 0.5000 0.0000 0.0000  2 Ni 2.03
Te 0.5000 0.5000 0.5000  4 I 2.87

---

(10)
VASP calculation (PBE-GGA) on NiTeIN2 after structural relaxation.

## Properties
* formation energy from raw total energies: 1.893 eV per atom
* energy relative to the lowest polymorph listed for this composition: 0.439 eV/atom
* final energy: -3.532 eV/atom
* symmetry: P4/mmm, No. 123

Lattice parameters (Å, degrees): 3.8906 3.8906 7.1324 90.00 90.00 90.00
With the nearest neighbours (Å) after each atom.
Atoms (fractional coordinates):
I 0.0000 0.0000 0.0000  4 N 1.95
Te 0.0000 0.0000 0.5000  4 Ni 2.75
N 0.0000 0.5000 0.0000  2 I 1.95
N 0.5000 0.0000 0.0000  2 I 1.95
Ni 0.5000 0.5000 0.5000  4 Te 2.75

---

(11)
VASP calculation (PBE-GGA) on TiNiIN2 after structural relaxation.

## Properties
* formation energy from raw total energies: 0.566 eV per atom
* energy relative to the lowest polymorph listed for this composition: 0.000 eV/atom
* final energy: -5.809 eV/atom
* symmetry: P4/mmm, No. 123

Lattice parameters (Å, degrees): 3.8401 3.8401 6.0626 90.00 90.00 90.00
With the nearest neighbours (Å) after each atom.
Atoms (fractional coordinates):
Ni 0.5000 0.5000 0.5000  4 I 2.72
N 0.5000 0.0000 0.0000  2 Ti 1.92
N 0.0000 0.5000 0.0000  2 Ti 1.92
Ti 0.0000 0.0000 0.0000  4 N 1.92
I 0.0000 0.0000 0.5000  4 Ni 2.72, 2 Ti 3.03

---

(12)
VASP calculation (PBE-GGA) on TiNiIN2 after structural relaxation.

## Properties
* formation energy from raw total energies: 1.294 eV per atom
* energy relative to the lowest polymorph listed for this composition: 0.728 eV/atom
* final energy: -5.081 eV/atom
* symmetry: P4/mmm, No. 123

Lattice parameters (Å, degrees): 3.8400 3.8400 5.0728 90.00 90.00 90.00
With the nearest neighbours (Å) after each atom.
Atoms (fractional coordinates):
N 0.5000 0.0000 0.0000  2 Ni 1.92
N 0.0000 0.5000 0.0000  2 Ni 1.92
Ni 0.0000 0.0000 0.0000  4 N 1.92
Ti 0.5000 0.5000 0.5000  4 I 2.72
I 0.0000 0.0000 0.5000  2 Ni 2.54, 4 Ti 2.72

---

It is found that the total magnetization values, taken in the order of the records, are 0.762, 1.281, 3.637, 0.378, 0.000, 0.995, 0.070, 3.853, 4.177, 0.821, 0.789, 0.867 μB per formula unit.